Entry 1:
# La3SnSBr (PBE-GGA, optimized geometry)
data_La3SnSBr
_cell_length_a 4.385
_cell_length_b 8.246
_cell_length_c 11.265
_cell_angle_alpha 113.62
_cell_angle_beta 90.00
_cell_angle_gamma 90.00
_symmetry_space_group_name_H-M 'P 1'
_symmetry_Int_Tables_number 1
_symmetry_space_group_name_Hall 'P 1'
loop_
_atom_site_label
_atom_site_fract_x
_atom_site_fract_y
_atom_site_fract_z
La1 0.750 0.298 0.485
La2 0.250 0.702 0.515
La3 0.750 0.930 0.117
La4 0.250 0.518 0.839
La5 0.250 0.070 0.883
La6 0.750 0.482 0.161
S1 0.750 0.309 0.889
S2 0.250 0.691 0.111
Sn1 0.750 0.736 0.744
Sn2 0.250 0.264 0.256
Br1 0.250 0.144 0.616
Br2 0.750 0.856 0.384
# Uncorrected formation energy, meV/atom: -1379
# M_tot, μB/f.u.: 1.5
# Symmetry: No. 11
# Electronic total energy, eV/atom: -5.4767


Entry 2:
# YS2N2 (PBE-GGA, optimized geometry)
data_YS2N2
_cell_length_a 3.820
_cell_length_b 3.820
_cell_length_c 4.520
_cell_angle_alpha 90.00
_cell_angle_beta 90.00
_cell_angle_gamma 90.00
_symmetry_space_group_name_H-M 'P 1'
_symmetry_Int_Tables_number 1
_symmetry_space_group_name_Hall 'P 1'
loop_
_atom_site_label
_atom_site_fract_x
_atom_site_fract_y
_atom_site_fract_z
Y1 0.500 0.500 0.500
S1 0.000 0.000 0.000
S2 0.000 0.000 0.500
N1 0.000 0.500 0.000
N2 0.500 0.000 0.000
# Uncorrected formation energy, meV/atom: 402
# M_tot, μB/f.u.: 0.0
# Symmetry: No. 123
# Electronic total energy, eV/atom: -5.8723